1.
## YTi3H (PBE)

Data for an optimized crystal structure of YTi3H.

a b c (Å): 4.3408 4.3408 4.3408
angles (deg): 90.00 90.00 90.00
Atoms (fractional coordinates):
Y1 0.5000 0.5000 0.5000
H1 0.0000 0.0000 0.0000
Ti1 0.0000 0.5000 0.0000
Ti2 0.0000 0.0000 0.5000
Ti3 0.5000 0.0000 0.0000

Calculated values
Relative energy among the computed polymorphs   0.00 kcal/mol of atoms
Calculated volume   16.36 Å³/atom
Fermi-level density of states   8.24 states/eV/cell
Total magnetization   1.26 μB/cell



2.
## Y2TiH (PBE)

Data for an optimized crystal structure of Y2TiH.

a b c (Å): 3.3313 3.3313 8.9557
angles (deg): 79.28 79.28 60.00
Atoms (fractional coordinates):
Y1 0.1126 0.1126 0.6624
Y2 0.8874 0.8874 0.3376
H1 0.5000 0.5000 0.5000
Ti1 0.0000 0.0000 0.0000

Calculated values
Relative energy among the computed polymorphs   3.49 kcal/mol of atoms
Calculated volume   21.02 Å³/atom
Fermi-level density of states   5.39 states/eV/cell
Total magnetization   1.67 μB/cell



3.
## Y3TiH (PBE)

Data for an optimized crystal structure of Y3TiH.

a b c (Å): 4.8150 4.8150 4.8150
angles (deg): 90.00 90.00 90.00
Atoms (fractional coordinates):
Y1 0.0000 0.5000 0.0000
Y2 0.0000 0.0000 0.5000
Y3 0.5000 0.0000 0.0000
H1 0.0000 0.0000 0.0000
Ti1 0.5000 0.5000 0.5000

Calculated values
Relative energy among the computed polymorphs   0.00 kcal/mol of atoms
Calculated volume   22.33 Å³/atom
Fermi-level density of states   8.94 states/eV/cell
Total magnetization   0.00 μB/cell



4.
## Y2TiH (PBE)

Data for an optimized crystal structure of Y2TiH.

a b c (Å): 5.0236 5.0236 5.0236
angles (deg): 60.00 60.00 60.00
Atoms (fractional coordinates):
Y1 0.2500 0.2500 0.2500
Y2 0.7500 0.7500 0.7500
H1 0.0000 0.0000 0.0000
Ti1 0.5000 0.5000 0.5000

Calculated values
Relative energy among the computed polymorphs   14.00 kcal/mol of atoms
Calculated volume   22.41 Å³/atom
Fermi-level density of states   4.17 states/eV/cell
Total magnetization   2.84 μB/cell



5.
## Y2TiZnH (PBE)

Data for an optimized crystal structure of Y2TiZnH.

a b c (Å): 4.9846 4.9846 3.8995
angles (deg): 90.00 90.00 90.00
Atoms (fractional coordinates):
Y1 0.0000 0.5000 0.0000
Y2 0.5000 0.0000 0.0000
H1 0.0000 0.0000 0.0000
Zn1 0.5000 0.5000 0.5000
Ti1 0.0000 0.0000 0.5000

Calculated values
Calculated volume   19.38 Å³/atom
Final energy   -26.2 eV per formula unit
Fermi-level density of states   4.32 states/eV/cell
Total magnetization   3.06 μB/cell



6.
## Ti3ZnH (PBE)

Data for an optimized crystal structure of Ti3ZnH.

a b c (Å): 5.5012 5.5012 5.6246
angles (deg): 90.00 90.00 123.99
Atoms (fractional coordinates):
H1 0.1208 0.8792 0.2500
H2 0.8792 0.1208 0.7500
Zn1 0.5091 0.4909 0.2500
Zn2 0.4909 0.5091 0.7500
Ti1 0.0084 0.4898 0.2500
Ti2 0.5102 0.9916 0.2500
Ti3 0.4898 0.0084 0.7500
Ti4 0.9916 0.5102 0.7500
Ti5 0.0000 0.0000 0.0000
Ti6 0.0000 0.0000 0.5000

Calculated values
Relative energy among the computed polymorphs   5.67 kcal/mol of atoms
Calculated volume   14.11 Å³/atom
Fermi-level density of states   9.36 states/eV/cell
Total magnetization   0.00 μB/cell



7.
## Ti3ZnH (PBE)

Data for an optimized crystal structure of Ti3ZnH.

a b c (Å): 3.0340 3.0340 17.8759
angles (deg): 90.00 90.00 120.00
Atoms (fractional coordinates):
H1 0.3333 0.6667 0.7500
H2 0.6667 0.3333 0.2500
Zn1 0.0000 0.0000 0.0000
Zn2 0.0000 0.0000 0.5000
Ti1 0.0000 0.0000 0.2500
Ti2 0.0000 0.0000 0.7500
Ti3 0.3333 0.6667 0.8768
Ti4 0.3333 0.6667 0.6232
Ti5 0.6667 0.3333 0.3768
Ti6 0.6667 0.3333 0.1232

Calculated values
Relative energy among the computed polymorphs   4.93 kcal/mol of atoms
Calculated volume   14.25 Å³/atom
Fermi-level density of states   9.84 states/eV/cell
Total magnetization   0.00 μB/cell



8.
## Ti3ZnH (PBE)

Data for an optimized crystal structure of Ti3ZnH.

a b c (Å): 5.5902 5.0974 5.0977
angles (deg): 113.37 90.00 90.00
Atoms (fractional coordinates):
H1 0.9224 0.7350 0.6969
H2 0.4224 0.6673 0.7647
Zn1 0.4223 0.9578 0.4739
Zn2 0.9222 0.4445 0.9877
Ti1 0.1723 0.9565 0.9861
Ti2 0.6723 0.4458 0.4755
Ti3 0.4223 0.4460 0.9858
Ti4 0.1723 0.4458 0.4755
Ti5 0.6723 0.9565 0.9861
Ti6 0.9223 0.9563 0.4758

Calculated values
Relative energy among the computed polymorphs   0.55 kcal/mol of atoms
Calculated volume   13.33 Å³/atom
Fermi-level density of states   4.85 states/eV/cell
Total magnetization   0.00 μB/cell



9.
## Ti3ZnH (PBE)

Data for an optimized crystal structure of Ti3ZnH.

a b c (Å): 4.5612 4.5612 10.2389
angles (deg): 77.13 77.13 90.00
Atoms (fractional coordinates):
H1 0.6536 0.1536 0.6928
H2 0.8464 0.3464 0.3072
Zn1 0.0000 0.0000 0.0000
Zn2 0.2500 0.7500 0.5000
Ti1 0.6223 0.8689 0.2621
Ti2 0.1311 0.3777 0.7379
Ti3 0.1311 0.8844 0.7379
Ti4 0.1156 0.8689 0.2621
Ti5 0.2951 0.2951 0.4098
Ti6 0.7049 0.7049 0.5902

Calculated values
Relative energy among the computed polymorphs   25.76 kcal/mol of atoms
Calculated volume   20.22 Å³/atom
Fermi-level density of states   12.92 states/eV/cell
Total magnetization   0.00 μB/cell



10.
## Ti3ZnH (PBE)

Data for an optimized crystal structure of Ti3ZnH.

a b c (Å): 17.7389 5.0556 7.5141
angles (deg): 90.00 156.30 90.00
Atoms (fractional coordinates):
H1 0.0725 0.3809 0.4791
H2 0.9275 0.6191 0.5209
H3 0.4275 0.8809 0.0209
H4 0.5725 0.1191 0.9791
Zn1 0.4232 0.7056 0.4163
Zn2 0.5768 0.2944 0.5837
Zn3 0.0768 0.2056 0.0837
Zn4 0.9232 0.7944 0.9163
Ti1 0.2215 0.0590 0.7352
Ti2 0.7785 0.9410 0.2648
Ti3 0.2785 0.5590 0.7648
Ti4 0.7215 0.4410 0.2352
Ti5 0.3354 0.1975 0.3468
Ti6 0.6646 0.8025 0.6532
Ti7 0.1646 0.6975 0.1532
Ti8 0.8354 0.3025 0.8468
Ti9 0.5429 0.7621 0.0392
Ti10 0.4571 0.2379 0.9608
Ti11 0.9571 0.2621 0.4608
Ti12 0.0429 0.7379 0.5392

Calculated values
Relative energy among the computed polymorphs   3.44 kcal/mol of atoms
Calculated volume   13.54 Å³/atom
Fermi-level density of states   20.94 states/eV/cell
Total magnetization   0.00 μB/cell



Please write out number 6 again, unchanged.
## Ti3ZnH (PBE)

Data for an optimized crystal structure of Ti3ZnH.

a b c (Å): 5.5012 5.5012 5.6246
angles (deg): 90.00 90.00 123.99
Atoms (fractional coordinates):
H1 0.1208 0.8792 0.2500
H2 0.8792 0.1208 0.7500
Zn1 0.5091 0.4909 0.2500
Zn2 0.4909 0.5091 0.7500
Ti1 0.0084 0.4898 0.2500
Ti2 0.5102 0.9916 0.2500
Ti3 0.4898 0.0084 0.7500
Ti4 0.9916 0.5102 0.7500
Ti5 0.0000 0.0000 0.0000
Ti6 0.0000 0.0000 0.5000

Calculated values
Relative energy among the computed polymorphs   5.67 kcal/mol of atoms
Calculated volume   14.11 Å³/atom
Fermi-level density of states   9.36 states/eV/cell
Total magnetization   0.00 μB/cell